1.
Here is crystalline LaAlHg at its relaxed geometry from Alexandria via LeMat-Bulk. Energies are from GGA-PBE.

a = 8.713 Å, b = 4.790 Å, c = 4.790 Å
α = 60.00°, β = 89.99°, γ = 74.05°
Fractional positions:
La: 0.760 0.251 0.704
La: 0.280 0.572 0.544
Al: 0.533 0.070 0.295
Al: 0.027 0.407 0.127
Hg: 0.914 0.815 0.423
Hg: 0.519 0.745 0.957

Calculated values
The calculation puts the calculated formation energy at -0.3718 eV per atom. For the electronic total energy, the calculation gives -20.174 eV per cell. The density of states at the Fermi level comes out at 2.38 states/eV/cell.


2.
Here is crystalline Li4DyHo3S8 at its relaxed geometry from Alexandria via LeMat-Bulk. Energies are from GGA-PBE.

a = 7.799 Å, b = 7.642 Å, c = 7.798 Å
α = 120.71°, β = 120.01°, γ = 90.00°
Fractional positions:
Li: 0.500 0.000 0.500
Li: 0.000 0.000 0.000
Li: 0.500 0.000 0.000
Li: 0.000 0.000 0.500
Dy: 0.000 0.500 0.000
Ho: 0.500 0.500 0.500
Ho: 0.000 0.500 0.500
Ho: 0.500 0.500 0.000
S: 0.251 0.750 0.501
S: 0.250 0.251 0.500
S: 0.749 0.250 0.000
S: 0.251 0.750 0.000
S: 0.749 0.750 0.000
S: 0.749 0.250 0.499
S: 0.251 0.250 0.000
S: 0.750 0.749 0.500

Calculated values
For the electronic total energy, the calculation gives -88.671 eV per cell. As for the formation energy without anion corrections: -42.75 kcal/mol of atoms. The density of states at the Fermi level comes out at 0.00 states/eV/cell.